No. 1
Material: MgPtRh2N
Method: DFT, PBE
State: optimized geometry

Summary:
The uncorrected formation energy comes out at -0.1308 eV per atom. The calculation puts the size of the total moment at 0.60 μB/cell.

Unit cell a=4.0092 b=4.0092 c=4.2539 alpha=90.00 beta=90.00 gamma=90.00
With the nearest neighbours (Å) after each atom.
Space group P4/mmm (No. 123)
Symmetry-distinct sites (fractional):
Mg 0.0000 0.0000 0.0000 (multiplicity 1)  2 N 2.13
Pt 0.5000 0.5000 0.0000 (multiplicity 1)  4 Mg 2.83, 8 Rh 2.92
Rh 0.0000 0.5000 0.5000 (multiplicity 2)  2 N 2.00
N 0.0000 0.0000 0.5000 (multiplicity 1)  4 Rh 2.00, 2 Mg 2.13

***

No. 2
Material: HoNpCuO6
Method: DFT, PBE
State: optimized geometry

Summary:
The uncorrected formation energy comes out at -2.1721 eV per atom. The calculation puts the size of the total moment at 1.03 μB/cell.

Unit cell a=5.6389 b=5.6389 c=4.3880 alpha=90.00 beta=90.00 gamma=120.00
With the nearest neighbours (Å) after each atom.
Space group P312 (No. 149)
Symmetry-distinct sites (fractional):
Ho 0.0000 0.0000 0.0000 (multiplicity 1)  6 O 2.24
Np 0.3333 0.6667 0.0000 (multiplicity 1)  6 O 2.03
Cu 0.6667 0.3333 0.5000 (multiplicity 1)  6 O 2.24
O 0.0210 0.3615 0.2392 (multiplicity 6)  1 Np 2.03, 1 Cu 2.24, 1 Ho 2.24

***

No. 3
Material: CdIrOs2Au
Method: DFT, PBE
State: optimized geometry

Summary:
The calculation puts the size of the total moment at 0.45 μB/cell. As for the formation enthalpy at 0 K: 8.8 eV per formula unit.

Unit cell a=4.7137 b=4.7137 c=5.0639 alpha=90.00 beta=90.00 gamma=90.00
With the nearest neighbours (Å) after each atom.
Space group P4/mmm (No. 123)
Symmetry-distinct sites (fractional):
Cd 0.0000 0.0000 0.0000 (multiplicity 1)  2 Ir 2.53
Ir 0.0000 0.0000 0.5000 (multiplicity 1)  4 Os 2.36, 2 Cd 2.53
Os 0.0000 0.5000 0.5000 (multiplicity 2)  2 Ir 2.36
Au 0.5000 0.5000 0.0000 (multiplicity 1)  4 Cd 3.33, 8 Os 3.46